A plane-wave DFT calculation with PBE was carried out for Tm4OsRu after structural relaxation.

Output
calculated formation energy	-387	meV/atom
uncorrected energy	-6.7859	eV per atom
crystal system	monoclinic
ΔE to the lowest computed polymorph	0	meV per atom

abc: 8.8296 12.6661 6.2036
angles: 90.00 124.06 90.00
With the nearest neighbours (Å) after each atom.
Space group C2/c (No. 15)
Unique sites:
1 Tm 0.1287 0.1782 0.0931 (multiplicity 8)  2 Ru 2.89-2.91, 2 Os 2.90-2.96
2 Tm 0.1935 0.4403 0.2639 (multiplicity 8)  2 Ru 2.79-2.86, 2 Os 2.81-2.97
3 Os 0.0000 0.3656 0.7500 (multiplicity 4)  8 Tm 2.81-2.97
4 Ru 0.0000 0.0021 0.2500 (multiplicity 4)  8 Tm 2.79-2.91, 2 Ru 3.10